Record 1
# Rb2NaAl6F21, relaxed, DFT PBEsol
data_Rb2NaAl6F21
_cell_length_a 12.084
_cell_length_b 6.996
_cell_length_c 10.158
_cell_angle_alpha 90.00
_cell_angle_beta 113.22
_cell_angle_gamma 90.00
_symmetry_space_group_name_H-M 'C 1 2 1'
_symmetry_Int_Tables_number 5
loop_
_symmetry_equiv_pos_as_xyz
'x,y,z'
'-x,y,-z'
'x+1/2,y+1/2,z'
'-x+1/2,y+1/2,-z'
loop_
_atom_site_label
_atom_site_type_symbol
_atom_site_fract_x
_atom_site_fract_y
_atom_site_fract_z
Rb1 Rb 0.140 0.000 0.411
Na1 Na 0.000 0.523 0.500
Al1 Al 0.064 0.538 0.192
Al2 Al 0.186 0.287 0.806
Al3 Al 0.186 0.788 0.809
F1 F 0.000 0.492 0.000
F2 F 0.035 0.354 0.787
F3 F 0.052 0.720 0.838
F4 F 0.108 0.780 0.624
F5 F 0.124 0.580 0.377
F6 F 0.140 0.285 0.619
F7 F 0.145 0.038 0.811
F8 F 0.160 0.720 0.165
F9 F 0.175 0.353 0.211
F10 F 0.231 0.298 0.999
F11 F 0.231 0.538 0.813
# - Total moment: 0.54 μB/cell
# - ΔE_f (raw): -3.469 eV/atom



Record 2
# NbSb2TeAs, relaxed, DFT PBEsol
data_NbSb2TeAs
_cell_length_a 5.193
_cell_length_b 5.193
_cell_length_c 5.161
_cell_angle_alpha 90.00
_cell_angle_beta 90.00
_cell_angle_gamma 90.00
_symmetry_space_group_name_H-M 'P 4/m m m'
_symmetry_Int_Tables_number 123
_symmetry_space_group_name_Hall '-P 4 2'
loop_
_atom_site_label
_atom_site_type_symbol
_atom_site_fract_x
_atom_site_fract_y
_atom_site_fract_z
Nb1 Nb 0.000 0.000 0.000
Sb1 Sb 0.000 0.500 0.500
Te1 Te 0.500 0.500 0.000
As1 As 0.500 0.500 0.500
# - Total moment: 2.35 μB/cell
# - ΔE_f (raw): 1.066 eV/atom



Record 3
# LiCuF4, relaxed, DFT PBEsol
data_LiCuF4
_cell_length_a 3.733
_cell_length_b 14.624
_cell_length_c 5.057
_cell_angle_alpha 90.00
_cell_angle_beta 90.00
_cell_angle_gamma 90.00
_symmetry_space_group_name_H-M 'C m c 21'
_symmetry_Int_Tables_number 36
loop_
_symmetry_equiv_pos_as_xyz
'x,y,z'
'-x,-y,z+1/2'
'-x,y,z'
'x,-y,z+1/2'
'x+1/2,y+1/2,z'
'-x+1/2,-y+1/2,z+1/2'
'-x+1/2,y+1/2,z'
'x+1/2,-y+1/2,z+1/2'
loop_
_atom_site_label
_atom_site_type_symbol
_atom_site_fract_x
_atom_site_fract_y
_atom_site_fract_z
Li1 Li 0.000 0.214 0.000
Cu1 Cu 0.000 0.409 0.902
F1 F 0.000 0.096 0.387
F2 F 0.000 0.300 0.694
F3 F 0.000 0.333 0.194
F4 F 0.000 0.483 0.606
# - Total moment: 0.00 μB/cell
# - ΔE_f (raw): -1.863 eV/atom



Record 4
# La2PRh, relaxed, DFT PBEsol
data_La2PRh
_cell_length_a 4.167
_cell_length_b 4.167
_cell_length_c 5.871
_cell_angle_alpha 90.00
_cell_angle_beta 90.00
_cell_angle_gamma 90.00
_symmetry_space_group_name_H-M 'P 4 m m'
_symmetry_Int_Tables_number 99
loop_
_symmetry_equiv_pos_as_xyz
'x,y,z'
'-y,x,z'
'-x,-y,z'
'y,-x,z'
'-x,y,z'
'y,x,z'
'x,-y,z'
'-y,-x,z'
loop_
_atom_site_label
_atom_site_type_symbol
_atom_site_fract_x
_atom_site_fract_y
_atom_site_fract_z
La1 La 0.000 0.000 0.000
La2 La 0.500 0.500 0.498
P1 P 0.500 0.500 0.998
Rh1 Rh 0.000 0.000 0.497
# - Energy of formation from the pure elements: -3.82 eV per formula unit
# - Total moment: 0.00 μB/cell



no.,calculated volume (A^3/atom),DOS at the Fermi energy (states/eV per atom),total DFT energy (no corrections) (eV/atom)
1,13.153,0.000,-5.75
2,27.833,0.967,-4.65
3,11.501,0.334,-4.20
4,25.483,0.131,-7.11